i) Here is crystalline Sm3InIr at its relaxed geometry from the Alexandria database. Energies are from PBE.

Unit cell a=5.432 b=5.534 c=10.113 alpha=90.00 beta=91.43 gamma=90.00
Space group P2_1/m (No. 11)
Unique sites:
Sm 0.006 0.250 0.332
Sm 0.015 0.750 0.103
Sm 0.479 0.250 0.641
In 0.497 0.250 0.111
Ir 0.024 0.750 0.379

Summary:
**D(E_F)**: 9.395 states/eV/cell

***

ii) Here is crystalline Sm3InIr at its relaxed geometry from the Alexandria database. Energies are from PBE.

Unit cell a=5.467 b=5.467 c=5.467 alpha=90.00 beta=90.00 gamma=90.00
Space group Pm-3m (No. 221)
Unique sites:
Sm 0.000 0.000 0.500
In 0.500 0.500 0.500
Ir 0.000 0.000 0.000

Summary:
**D(E_F)**: 6.602 states/eV/cell

***

Stability ranking, top and bottom: i) is the most stable and ii) is the least stable.

***

i) Here is crystalline Sm6In2Ir at its relaxed geometry from the Alexandria database. Energies are from PBE.

Unit cell a=5.252 b=7.362 c=15.093 alpha=90.00 beta=90.00 gamma=90.00
Space group Immm (No. 71)
Unique sites:
Sm 0.000 0.225 0.000
Sm 0.000 0.259 0.346
In 0.000 0.500 0.167
Ir 0.000 0.500 0.500

Summary:
**D(E_F)**: 20.885 states/eV/cell

***

ii) Here is crystalline Sm6In2Ir at its relaxed geometry from the Alexandria database. Energies are from PBE.

Unit cell a=3.910 b=15.243 c=8.808 alpha=90.00 beta=90.00 gamma=90.00
Space group Amm2 (No. 38)
Unique sites:
Sm 0.000 0.000 0.000
Sm 0.000 0.121 0.635
Sm 0.500 0.000 0.362
Sm 0.500 0.197 0.953
In 0.000 0.167 0.257
Ir 0.500 0.000 0.758

Summary:
**D(E_F)**: 23.025 states/eV/cell

***

Stability ranking, top and bottom: ii) is the most stable and i) is the least stable.

***

i) Here is crystalline In2SnIr2 at its relaxed geometry from the Alexandria database. Energies are from PBE.

Unit cell a=7.872 b=7.872 c=3.115 alpha=90.00 beta=90.00 gamma=90.00
Space group P4/mbm (No. 127)
Unique sites:
In 0.143 0.357 0.000
Sn 0.000 0.000 0.500
Ir 0.154 0.654 0.500

Summary:
**D(E_F)**: 6.277 states/eV/cell

***

ii) Here is crystalline In2SnIr2 at its relaxed geometry from the Alexandria database. Energies are from PBE.

Unit cell a=4.008 b=4.008 c=12.774 alpha=90.00 beta=90.00 gamma=90.00
Space group I4/mmm (No. 139)
Unique sites:
In 0.000 0.500 0.250
Sn 0.000 0.000 0.000
Ir 0.000 0.000 0.400

Summary:
**D(E_F)**: 5.012 states/eV/cell

***

Stability ranking, top and bottom: i) is the most stable and ii) is the least stable.